A plane-wave DFT calculation with PBE was carried out for a geometry-optimized Cd2CoSb structure.

Calculated values
Crystal system = monoclinic
E = -2.921 eV/atom
Energy relative to the elements, uncorrected = 0.344 eV/atom
Volume = 81.9 Å³ per cell
DOS(E_F) = 4.06 states/eV per cell

Geometry as extended XYZ:
```
4
Lattice="3.1405 0.0000 0.0000 0.0000 5.5653 0.0000 -0.3371 0.0000 4.6836" Properties=species:S:1:pos:R:3 pbc="T T T"
Cd 0.6956 0.0000 1.1981
Cd 2.1079 0.0000 3.4855
Co 1.4017 2.7827 2.3418
Sb 0.0000 2.7827 0.0000
```

---

A plane-wave DFT calculation with PBE was carried out for a geometry-optimized Na4SrLa structure.

Calculated values
Crystal system = cubic
E = -1.820 eV/atom
Formation energy from the elements = 0.1609 eV/atom
Volume = 229.8 Å³ per cell
DOS(E_F) = 8.01 states/eV per cell

Geometry as extended XYZ:
```
6
Lattice="0.0000 4.8614 4.8614 4.8614 0.0000 4.8614 4.8614 4.8614 0.0000" Properties=species:S:1:pos:R:3 pbc="T T T"
Na 3.6539 3.6539 3.6539
Na 6.0689 6.0689 3.6539
Na 6.0689 3.6539 6.0689
Na 3.6539 6.0689 6.0689
Sr 0.0000 0.0000 0.0000
La 7.2921 7.2921 7.2921
```

---

A plane-wave DFT calculation with PBE was carried out for a geometry-optimized CdCoNi2P structure.

Calculated values
Crystal system = tetragonal
E = -3.940 eV/atom
Formation energy from the elements = 1.0584 eV/atom
Volume = 88.7 Å³ per cell
DOS(E_F) = 5.52 states/eV per cell

Geometry as extended XYZ:
```
5
Lattice="4.2963 0.0000 0.0000 0.0000 4.2963 0.0000 0.0000 0.0000 4.8071" Properties=species:S:1:pos:R:3 pbc="T T T"
Cd 0.0000 0.0000 0.0000
Co 0.0000 0.0000 2.4035
Ni 0.0000 2.1482 2.4035
Ni 2.1482 0.0000 2.4035
P 2.1482 2.1482 0.0000
```

---

A plane-wave DFT calculation with PBE was carried out for a geometry-optimized PrSm2In4 structure.

Calculated values
Crystal system = triclinic
E = -3.848 eV/atom
E above lowest polymorph = 50 meV per atom
Formation energy from the elements = -0.2524 eV/atom
Volume = 438.9 Å³ per cell
DOS(E_F) = 10.76 states/eV per cell

Geometry as extended XYZ:
```
14
Lattice="7.4376 0.0000 0.0000 1.5077 7.2962 0.0000 2.7686 2.2235 8.0883" Properties=species:S:1:pos:R:3 pbc="T T T"
Pr 0.0000 0.0000 0.0000
Pr 4.5214 6.4354 4.0797
Sm 2.2587 3.2203 2.0430
Sm 5.9775 3.2155 2.0424
Sm 7.3646 4.3303 6.0831
Sm 8.1131 7.9794 6.0822
In 5.4241 6.6117 7.0697
In 4.5166 3.1021 4.9621
In 4.1270 5.6075 1.0877
In 4.1908 0.6919 0.9109
In 7.7601 5.7476 3.1664
In 7.8343 0.8247 2.9904
In 10.2045 5.5655 7.2101
In 9.3006 2.0421 5.1016
```

---

A plane-wave DFT calculation with PBE was carried out for a geometry-optimized ThSc2AgHg4 structure.

Calculated values
Crystal system = trigonal
E = -3.263 eV/atom
Formation energy from the elements = -0.2455 eV/atom
Volume = 187.7 Å³ per cell
DOS(E_F) = 6.63 states/eV per cell

Geometry as extended XYZ:
```
8
Lattice="2.4367 1.4068 9.1249 -2.4367 1.4068 9.1249 0.0000 -2.8137 9.1249" Properties=species:S:1:pos:R:3 pbc="T T T"
Th 0.0000 0.0000 0.0000
Sc 0.0000 0.0000 6.5125
Sc 0.0000 0.0000 20.8621
Ag 0.0000 0.0000 13.6873
Hg 0.0000 0.0000 3.4805
Hg 0.0000 0.0000 10.6224
Hg 0.0000 0.0000 16.7522
Hg 0.0000 0.0000 23.8942
```

---

A plane-wave DFT calculation with PBE was carried out for a geometry-optimized La6Cd5Hg structure.

Calculated values
Crystal system = monoclinic
E = -3.229 eV/atom
Formation energy from the elements = -0.3588 eV/atom
Volume = 364.7 Å³ per cell
DOS(E_F) = 15.14 states/eV per cell

Geometry as extended XYZ:
```
12
Lattice="8.7716 -3.9442 0.0000 8.7716 3.9442 0.0000 -1.7371 0.0000 5.2702" Properties=species:S:1:pos:R:3 pbc="T T T"
La 5.2898 1.9841 1.7620
La 8.7716 1.9933 0.0000
La 10.5162 1.9841 3.5083
La 5.2898 -1.9841 1.7620
La 8.7716 -1.9933 0.0000
La 10.5162 -1.9841 3.5083
Cd 2.6955 0.0000 0.9014
Cd 4.3937 0.0000 4.3875
Cd 7.9030 0.0000 2.6351
Cd 11.4124 0.0000 0.8827
Cd 13.1106 0.0000 4.3688
Hg -0.8685 0.0000 2.6351
```

---

A plane-wave DFT calculation with PBE was carried out for a geometry-optimized Sc3SnBi structure.

Calculated values
Crystal system = monoclinic
E = -5.745 eV/atom
E above lowest polymorph = 0 meV per atom
Formation energy from the elements = -0.3692 eV/atom
Volume = 266.9 Å³ per cell
DOS(E_F) = 9.54 states/eV per cell

Geometry as extended XYZ:
```
10
Lattice="8.2020 -1.9571 0.0000 8.2020 1.9571 0.0000 -2.3636 0.0000 8.3135" Properties=species:S:1:pos:R:3 pbc="T T T"
Sc -0.3352 0.0000 1.6862
Sc 0.9898 0.0000 7.4571
Sc 2.8515 0.0000 2.5440
Sc 11.1890 0.0000 5.7695
Sc 13.0506 0.0000 0.8565
Sc 14.3756 0.0000 6.6273
Sn 4.1712 0.0000 7.7829
Sn 9.8692 0.0000 0.5307
Bi 0.6887 0.0000 4.5891
Bi 13.3517 0.0000 3.7244
```

---

A plane-wave DFT calculation with PBE was carried out for a geometry-optimized Cs3RbAu structure.

Calculated values
Crystal system = orthorhombic
E = -1.439 eV/atom
E above lowest polymorph = 70 meV per atom
Formation energy from the elements = -0.0774 eV/atom
Volume = 1461.1 Å³ per cell
DOS(E_F) = 20.12 states/eV per cell

Geometry as extended XYZ:
```
20
Lattice="9.1936 0.0000 0.0000 0.0000 15.1559 0.0000 0.0000 0.0000 10.4864" Properties=species:S:1:pos:R:3 pbc="T T T"
Cs 0.6933 1.7782 1.5299
Cs 0.6933 5.7998 1.5299
Cs 1.9720 3.7890 7.4810
Cs 2.6248 11.3669 2.2378
Cs 3.9035 9.3562 6.7731
Cs 3.9035 13.3777 6.7731
Cs 5.2900 1.7782 3.7133
Cs 5.2900 5.7998 3.7133
Cs 6.5687 3.7890 8.2486
Cs 7.2216 11.3669 3.0054
Cs 8.5003 9.3562 8.9565
Cs 8.5003 13.3777 8.9565
Rb 0.0000 0.0000 5.2432
Rb 0.0000 7.5780 5.2432
Rb 4.5968 0.0000 0.0000
Rb 4.5968 7.5780 0.0000
Au 0.8508 11.3669 5.9069
Au 3.7460 3.7890 0.6637
Au 5.4476 11.3669 9.8227
Au 8.3428 3.7890 4.5795
```

---

A plane-wave DFT calculation with PBE was carried out for a geometry-optimized TcPd3Pt structure.

Calculated values
Crystal system = cubic
E = -4.894 eV/atom
E above lowest polymorph = 132 meV per atom
Formation energy from the elements = 1.5030 eV/atom
Volume = 114.3 Å³ per cell
DOS(E_F) = 7.95 states/eV per cell

Geometry as extended XYZ:
```
5
Lattice="4.8537 0.0000 0.0000 0.0000 4.8537 0.0000 0.0000 0.0000 4.8537" Properties=species:S:1:pos:R:3 pbc="T T T"
Tc 0.0000 0.0000 0.0000
Pd 0.0000 2.4269 2.4269
Pd 2.4269 0.0000 2.4269
Pd 2.4269 2.4269 0.0000
Pt 2.4269 2.4269 2.4269
```

---

A plane-wave DFT calculation with PBE was carried out for a geometry-optimized K2Li3TcF12 structure.

Calculated values
Crystal system = trigonal
E = -4.503 eV/atom
Energy relative to the elements, uncorrected = -2.238 eV/atom
Volume = 285.4 Å³ per cell
DOS(E_F) = 18.20 states/eV per cell

Geometry as extended XYZ:
```
18
Lattice="3.4896 2.0147 6.7648 -3.4896 2.0147 6.7648 0.0000 -4.0294 6.7648" Properties=species:S:1:pos:R:3 pbc="T T T"
K 0.0000 0.0000 1.7083
K 0.0000 0.0000 18.5860
Li -1.7448 -1.0074 6.7648
Li -1.7448 1.0074 13.5295
Li 0.0000 2.0147 6.7648
Tc 0.0000 0.0000 10.1472
F 0.0000 -1.6367 6.2435
F -1.4174 0.8183 6.2435
F -1.3488 -0.7787 9.0824
F -1.4174 -0.8183 14.0508
F 0.0000 -1.5574 11.2119
F -1.3488 0.7787 11.2119
F 1.3488 -0.7787 9.0824
F 0.0000 1.5574 9.0824
F 1.4174 0.8183 6.2435
F 1.3488 0.7787 11.2119
F 1.4174 -0.8183 14.0508
F 0.0000 1.6367 14.0508
```

---

A plane-wave DFT calculation with PBE was carried out for a geometry-optimized Pm2DyCd2 structure.

Calculated values
Crystal system = orthorhombic
E = -3.132 eV/atom
E above lowest polymorph = 305 meV per atom
Formation energy from the elements = 0.0547 eV/atom
Volume = 322.4 Å³ per cell
DOS(E_F) = 12.88 states/eV per cell

Geometry as extended XYZ:
```
10
Lattice="-4.6043 5.6354 3.1060 4.6043 -5.6354 3.1060 4.6043 5.6354 -3.1060" Properties=species:S:1:pos:R:3 pbc="T T T"
Pm 1.0820 1.3292 0.0000
Pm 5.6862 4.3062 0.0000
Pm -1.0820 1.3292 3.1060
Pm 3.5223 4.3062 3.1060
Dy 4.6043 0.0000 1.5530
Dy 0.0000 5.6354 1.5530
Cd 7.0183 1.5713 0.0000
Cd 2.4140 4.0641 0.0000
Cd 2.1903 1.5713 3.1060
Cd -2.4140 4.0641 3.1060
```